A plane-wave DFT calculation with SCAN was carried out for CrNi3 at its PBEsol-relaxed geometry.

Cell: 2.452 8.013 4.262 Å, 90.00 90.00 90.00°
Space group Imm2 (No. 44)
Symmetry-distinct sites (fractional):
Cr 0.000 0.000 0.000 x2
Ni 0.000 0.250 0.340 x4
Ni 0.000 0.500 0.003 x2

Results
Spin magnetization: 2.53 μB/f.u.
Crystal system: orthorhombic
E_form: 0.49 eV per formula unit


A plane-wave DFT calculation with SCAN was carried out for BaLaBr5 at its PBEsol-relaxed geometry.

Cell: 7.765 4.420 14.214 Å, 90.00 91.81 90.00°
Space group P2_1/m (No. 11)
Symmetry-distinct sites (fractional):
Ba 0.047 0.250 0.348 x2
La 0.461 0.750 0.154 x2
Br 0.177 0.250 0.762 x2
Br 0.185 0.250 0.123 x2
Br 0.211 0.750 0.479 x2
Br 0.344 0.750 0.944 x2
Br 0.473 0.250 0.304 x2

Results
Spin magnetization: 0.00 μB/f.u.
Crystal system: monoclinic
Formation energy (no corrections): -217 kJ per mole of atoms


A plane-wave DFT calculation with SCAN was carried out for FeNi2 at its PBEsol-relaxed geometry.

Cell: 3.781 3.781 2.692 Å, 90.00 90.00 90.00°
Space group P4/mmm (No. 123)
Symmetry-distinct sites (fractional):
Fe 0.000 0.000 0.000 x1
Ni 0.000 0.500 0.500 x2

Results
Spin magnetization: 4.53 μB/f.u.
Crystal system: tetragonal
E_form: 1.10 eV per formula unit


A plane-wave DFT calculation with SCAN was carried out for LiBe2Al at its PBEsol-relaxed geometry.

Cell: 2.549 3.551 5.092 Å, 90.00 90.00 90.00°
Space group Pmmm (No. 47)
Symmetry-distinct sites (fractional):
Li 0.000 0.000 0.000 x1
Be 0.500 0.500 0.252 x2
Al 0.000 0.000 0.500 x1

Results
Spin magnetization: 0.02 μB/f.u.
Crystal system: orthorhombic
E_form: 0.88 eV per formula unit